VASP calculation (PBE) on an optimized crystal structure of Tm3Te2Pb.

The structure belongs to space group Cmcm (No. 63); the cell edges are 15.4590, 9.1576 and 6.0770 Å and the angles 90.00°, 90.00° and 90.00°. The inequivalent atoms are Tm at (0.0000, 0.1620, 0.2500), Tm at (0.1661, 0.3334, 0.7500), Te at (0.1681, 0.3385, 0.2500) and Pb at (0.0000, 0.1691, 0.7500).

The value obtained for the electronic total energy is -0.1705 hartree per atom. As for the crystal system: orthorhombic. The calculation puts the energy above the most stable polymorph in this dataset at 261 meV per atom. Its density is 7483 kg/m³. The formation energy without anion corrections comes out at -738.5 meV per atom. For the magnetic moment, the calculation gives 0.0 μB/cell.



VASP calculation (PBE) on an optimized crystal structure of MnP2Br.

The structure belongs to space group I-42d (No. 122); the cell edges are 5.7980, 5.7980 and 10.6489 Å and the angles 90.00°, 90.00° and 90.00°. The inequivalent atoms are Mn at (0.0000, 0.0000, 0.0000), P at (0.1308, 0.2500, 0.1250) and Br at (0.0000, 0.0000, 0.5000).

The value obtained for the electronic total energy is -0.1889 hartree per atom. As for the crystal system: tetragonal. The calculation puts the energy above the most stable polymorph in this dataset at 344 meV per atom. Its density is 3651 kg/m³. The formation energy without anion corrections comes out at 275.3 meV per atom. For the magnetic moment, the calculation gives 0.0 μB/cell.